*A*
Below is LiNdAu4 after structural relaxation, with properties calculated at the GGA-PBE level.

Unit cell a=5.602 b=5.602 c=5.602 alpha=60.00 beta=60.00 gamma=60.00
Element x y z (fractional)
Nd (0.000, 0.000, 0.000)
Au (0.624, 0.624, 0.127)
Au (0.624, 0.127, 0.624)
Au (0.624, 0.624, 0.624)
Au (0.127, 0.624, 0.624)
Li (0.250, 0.250, 0.250)

*B*
Below is LiNdAu4 after structural relaxation, with properties calculated at the GGA-PBE level.

Unit cell a=4.729 b=4.729 c=6.520 alpha=90.00 beta=90.00 gamma=120.00
Element x y z (fractional)
Li (0.000, 0.000, 0.000)
Nd (0.000, 0.000, 0.500)
Au (0.333, 0.667, 0.226)
Au (0.333, 0.667, 0.774)
Au (0.667, 0.333, 0.226)
Au (0.667, 0.333, 0.774)

*C*
Below is LiNdAu4 after structural relaxation, with properties calculated at the GGA-PBE level.

Unit cell a=5.171 b=5.308 c=5.243 alpha=59.59 beta=90.00 gamma=90.00
Element x y z (fractional)
Li (0.001, 0.502, 0.496)
Nd (0.501, 0.002, 0.495)
Au (0.501, 0.663, 0.173)
Au (0.501, 0.341, 0.818)
Au (0.001, 0.182, 0.135)
Au (0.001, 0.822, 0.855)

Ranked by calculated energy, most stable first: *B*, *C*, *A*.

*A*
Below is Li2NdAu after structural relaxation, with properties calculated at the GGA-PBE level.

Unit cell a=4.553 b=4.553 c=5.551 alpha=65.79 beta=65.79 gamma=60.00
Element x y z (fractional)
Li (0.008, 0.008, 0.976)
Li (0.290, 0.290, 0.129)
Nd (0.496, 0.496, 0.513)
Au (0.706, 0.706, 0.882)

*B*
Below is Li2NdAu after structural relaxation, with properties calculated at the GGA-PBE level.

Unit cell a=3.395 b=3.395 c=7.213 alpha=90.00 beta=90.00 gamma=90.00
Element x y z (fractional)
Nd (0.500, 0.500, 0.500)
Au (0.500, 0.500, 0.000)
Li (0.000, 0.000, 0.824)
Li (0.000, 0.000, 0.176)

Ranked by calculated energy, most stable first: *A*, *B*.

*A*
Below is Li2NdAu after structural relaxation, with properties calculated at the GGA-PBE level.

Unit cell a=4.797 b=4.797 c=4.797 alpha=60.00 beta=60.00 gamma=60.00
Element x y z (fractional)
Nd (0.000, 0.000, 0.000)
Au (0.500, 0.500, 0.500)
Li (0.250, 0.250, 0.250)
Li (0.750, 0.750, 0.750)

*B*
Below is Li2NdAu after structural relaxation, with properties calculated at the GGA-PBE level.

Unit cell a=4.159 b=5.640 c=8.199 alpha=90.00 beta=90.00 gamma=111.57
Element x y z (fractional)
Li (0.340, 0.681, 0.054)
Li (0.340, 0.681, 0.446)
Li (0.660, 0.319, 0.946)
Li (0.660, 0.319, 0.554)
Nd (0.057, 0.115, 0.250)
Nd (0.943, 0.885, 0.750)
Au (0.769, 0.539, 0.250)
Au (0.231, 0.461, 0.750)

Ranked by calculated energy, most stable first: *B*, *A*.

*A*
Below is Li6NdAu2 after structural relaxation, with properties calculated at the GGA-PBE level.

Unit cell a=4.030 b=4.030 c=11.193 alpha=90.00 beta=90.00 gamma=90.00
Element x y z (fractional)
Li (0.000, 0.500, 0.286)
Li (0.500, 0.000, 0.286)
Li (0.000, 0.500, 0.714)
Li (0.500, 0.000, 0.714)
Li (0.500, 0.500, 0.500)
Li (0.000, 0.000, 0.500)
Nd (0.000, 0.000, 0.000)
Au (0.500, 0.500, 0.129)
Au (0.500, 0.500, 0.871)

*B*
Below is Li6NdAu2 after structural relaxation, with properties calculated at the GGA-PBE level.

Unit cell a=4.518 b=9.440 c=9.440 alpha=52.80 beta=44.46 gamma=44.46
Element x y z (fractional)
Li (0.356, 0.883, 0.547)
Li (0.644, 0.117, 0.453)
Li (0.644, 0.453, 0.117)
Li (0.500, 0.322, 0.678)
Li (0.500, 0.678, 0.322)
Li (0.356, 0.547, 0.883)
Nd (0.000, 0.000, 0.000)
Au (0.144, 0.285, 0.285)
Au (0.856, 0.715, 0.715)

Ranked by calculated energy, most stable first: *A*, *B*.

*A*
Below is LiNd3Au4 after structural relaxation, with properties calculated at the GGA-PBE level.

Unit cell a=4.064 b=6.944 c=8.466 alpha=114.21 beta=103.89 gamma=90.00
Element x y z (fractional)
Li (0.500, 0.000, 0.000)
Nd (0.201, 0.201, 0.402)
Nd (0.799, 0.799, 0.598)
Nd (0.000, 0.500, 0.000)
Au (0.380, 0.164, 0.760)
Au (0.620, 0.836, 0.240)
Au (0.620, 0.404, 0.240)
Au (0.380, 0.596, 0.760)

*B*
Below is LiNd3Au4 after structural relaxation, with properties calculated at the GGA-PBE level.

Unit cell a=5.154 b=5.154 c=8.922 alpha=73.21 beta=73.21 gamma=60.00
Element x y z (fractional)
Au (0.872, 0.872, 0.383)
Au (0.379, 0.379, 0.863)
Au (0.128, 0.128, 0.617)
Au (0.621, 0.621, 0.137)
Nd (0.258, 0.258, 0.226)
Nd (0.742, 0.742, 0.774)
Nd (0.500, 0.500, 0.500)
Li (0.000, 0.000, 0.000)

Ranked by calculated energy, most stable first: *B*, *A*.

*A*
Below is LiNdPdAu after structural relaxation, with properties calculated at the GGA-PBE level.

Unit cell a=4.924 b=4.924 c=4.924 alpha=60.00 beta=60.00 gamma=60.00
Element x y z (fractional)
Nd (0.750, 0.750, 0.750)
Au (0.000, 0.000, 0.000)
Pd (0.500, 0.500, 0.500)
Li (0.250, 0.250, 0.250)

*B*
Below is LiNdPdAu after structural relaxation, with properties calculated at the GGA-PBE level.

Unit cell a=4.463 b=4.464 c=5.494 alpha=113.98 beta=89.99 gamma=120.01
Element x y z (fractional)
Li (0.114, 0.229, 0.986)
Nd (0.618, 0.237, 0.497)
Pd (0.402, 0.803, 0.848)
Au (0.832, 0.663, 0.136)

Ranked by calculated energy, most stable first: *B*, *A*.

*A*
Below is LiTbNdAu after structural relaxation, with properties calculated at the GGA-PBE level.

Unit cell a=3.748 b=5.125 c=5.169 alpha=90.00 beta=90.00 gamma=90.00
Element x y z (fractional)
Li (0.000, 0.500, 0.500)
Tb (0.500, 0.500, 0.000)
Nd (0.500, 0.000, 0.500)
Au (0.000, 0.000, 0.000)

*B*
Below is LiTbNdAu after structural relaxation, with properties calculated at the GGA-PBE level.

Unit cell a=5.206 b=5.206 c=5.206 alpha=60.00 beta=60.00 gamma=60.00
Element x y z (fractional)
Tb (0.250, 0.250, 0.250)
Au (0.000, 0.000, 0.000)
Nd (0.750, 0.750, 0.750)
Li (0.500, 0.500, 0.500)

Ranked by calculated energy, most stable first: *A*, *B*.

*A*
Below is LiNi2Au2 after structural relaxation, with properties calculated at the GGA-PBE level.

Unit cell a=3.372 b=3.372 c=7.231 alpha=76.51 beta=76.51 gamma=90.00
Site moments in Bohr magnetons follow the coordinates.
Element x y z (fractional)
Ni (0.750, 0.250, 0.500)  0.48
Ni (0.250, 0.750, 0.500)  0.48
Au (0.400, 0.400, 0.200)  0.01
Au (0.600, 0.600, 0.800)  0.01
Li (0.000, 0.000, 0.000)  0.00

*B*
Below is LiNi2Au2 after structural relaxation, with properties calculated at the GGA-PBE level.

Unit cell a=4.712 b=4.712 c=5.128 alpha=62.65 beta=62.65 gamma=90.00
Site moments in Bohr magnetons follow the coordinates.
Element x y z (fractional)
Ni (0.359, 0.359, 0.282)  0.41
Ni (0.641, 0.641, 0.718)  0.41
Au (0.750, 0.250, 0.500)  0.02
Au (0.250, 0.750, 0.500)  0.02
Li (0.000, 0.000, 0.000)  0.00

*C*
Below is LiNi2Au2 after structural relaxation, with properties calculated at the GGA-PBE level.

Unit cell a=7.505 b=7.505 c=2.751 alpha=90.00 beta=90.00 gamma=90.00
Site moments in Bohr magnetons follow the coordinates.
Element x y z (fractional)
Ni (0.387, 0.887, 0.000)  0.29
Ni (0.887, 0.613, 0.000)  0.27
Ni (0.613, 0.113, 0.000)  0.29
Ni (0.113, 0.387, 0.000)  0.27
Au (0.183, 0.683, 0.500)  0.01
Au (0.683, 0.817, 0.500)  0.01
Au (0.817, 0.317, 0.500)  0.01
Au (0.317, 0.183, 0.500)  0.01
Li (0.000, 0.000, 0.000)  0.00
Li (0.500, 0.500, 0.000)  0.00

Ranked by calculated energy, most stable first: *C*, *A*, *B*.

*A*
Below is LiNiAu after structural relaxation, with properties calculated at the GGA-PBE level.

Unit cell a=4.118 b=4.118 c=4.118 alpha=60.00 beta=60.00 gamma=60.00
Element x y z (fractional)
Au (0.000, 0.000, 0.000)
Li (0.500, 0.500, 0.500)
Ni (0.750, 0.750, 0.750)

*B*
Below is LiNiAu after structural relaxation, with properties calculated at the GGA-PBE level.

Unit cell a=3.658 b=12.006 c=3.744 alpha=90.00 beta=90.00 gamma=90.00
Site moments in Bohr magnetons follow the coordinates.
Element x y z (fractional)
Li (0.000, 0.090, 0.250)  0.00
Li (0.000, 0.910, 0.750)  0.00
Li (0.500, 0.590, 0.250)  0.00
Li (0.500, 0.410, 0.750)  0.00
Ni (0.000, 0.747, 0.250)  0.21
Ni (0.000, 0.253, 0.750)  0.21
Ni (0.500, 0.247, 0.250)  0.21
Ni (0.500, 0.753, 0.750)  0.21
Au (0.000, 0.409, 0.250)  0.01
Au (0.000, 0.591, 0.750)  0.01
Au (0.500, 0.909, 0.250)  0.01
Au (0.500, 0.091, 0.750)  0.01

Ranked by calculated energy, most stable first: *B*, *A*.

*A*
Below is LiNiAu after structural relaxation, with properties calculated at the GGA-PBE level.

Unit cell a=2.762 b=2.763 c=13.065 alpha=90.00 beta=90.00 gamma=119.99
Site moments in Bohr magnetons follow the coordinates.
Element x y z (fractional)
Li (0.611, 0.222, 0.000)  0.00
Li (0.278, 0.556, 0.500)  0.00
Ni (0.611, 0.222, 0.343)  0.08
Ni (0.611, 0.222, 0.657)  0.08
Au (0.278, 0.555, 0.830)  -0.01
Au (0.278, 0.555, 0.170)  -0.01

*B*
Below is LiNiAu after structural relaxation, with properties calculated at the GGA-PBE level.

Unit cell a=4.223 b=4.223 c=2.662 alpha=90.00 beta=90.00 gamma=120.00
Element x y z (fractional)
Au (0.000, 0.000, 0.021)
Li (0.667, 0.333, 0.409)
Ni (0.333, 0.667, 0.570)

Ranked by calculated energy, most stable first: *B*, *A*.

*A*
Below is LiNiAu after structural relaxation, with properties calculated at the GGA-PBE level.

Unit cell a=5.358 b=3.863 c=8.221 alpha=90.00 beta=105.05 gamma=90.00
Site moments in Bohr magnetons follow the coordinates.
Element x y z (fractional)
Li (0.720, 0.000, 0.332)  0.00
Li (0.720, 0.500, 0.832)  0.00
Li (0.376, 0.000, 0.652)  0.00
Li (0.376, 0.500, 0.152)  0.00
Ni (0.056, 0.000, 0.997)  0.26
Ni (0.056, 0.500, 0.497)  0.26
Ni (0.195, 0.000, 0.331)  0.21
Ni (0.195, 0.500, 0.831)  0.21
Au (0.901, 0.000, 0.667)  0.01
Au (0.901, 0.500, 0.167)  0.01
Au (0.535, 0.000, 0.983)  -0.01
Au (0.535, 0.500, 0.483)  -0.01

*B*
Below is LiNiAu after structural relaxation, with properties calculated at the GGA-PBE level.

Unit cell a=4.588 b=4.597 c=5.119 alpha=94.98 beta=111.25 gamma=119.76
Element x y z (fractional)
Li (0.109, 0.513, 0.455)
Li (0.437, 0.183, 0.452)
Ni (0.402, 0.319, 0.951)
Ni (0.741, 0.983, 0.954)
Au (0.069, 0.648, 0.953)
Au (0.778, 0.854, 0.452)

*C*
Below is LiNiAu after structural relaxation, with properties calculated at the GGA-PBE level.

Unit cell a=4.419 b=2.773 c=6.675 alpha=90.00 beta=94.18 gamma=90.00
Site moments in Bohr magnetons follow the coordinates.
Element x y z (fractional)
Li (0.314, 0.000, 0.682)  0.00
Li (0.686, 0.000, 0.318)  0.00
Ni (0.000, 0.000, 0.000)  0.16
Ni (0.500, 0.500, 0.000)  0.13
Au (0.812, 0.500, 0.673)  0.00
Au (0.188, 0.500, 0.327)  0.00

*D*
Below is LiNiAu after structural relaxation, with properties calculated at the GGA-PBE level.

Unit cell a=4.357 b=2.836 c=13.438 alpha=90.00 beta=92.33 gamma=90.00
Site moments in Bohr magnetons follow the coordinates.
Element x y z (fractional)
Li (0.895, 0.000, 0.655)  0.00
Li (0.105, 0.000, 0.345)  0.00
Li (0.895, 0.500, 0.155)  0.00
Li (0.105, 0.500, 0.845)  0.00
Ni (0.000, 0.000, 0.000)  0.17
Ni (0.000, 0.500, 0.500)  0.17
Ni (0.500, 0.000, 0.500)  0.16
Ni (0.500, 0.500, 0.000)  0.16
Au (0.396, 0.000, 0.160)  0.00
Au (0.604, 0.000, 0.840)  0.00
Au (0.396, 0.500, 0.660)  0.00
Au (0.604, 0.500, 0.340)  0.00

Ranked by calculated energy, most stable first: *B*, *A*, *C*, *D*.